1.
This record from the Alexandria database describes a relaxed structure of Be3PPt. The functional is PBE.

Calculated values
total moment	0.0	μB per formula unit
uncorrected energy	-0.151	hartree per atom
distance to the lowest polymorph of the same formula	0.000	eV/atom
E_form	0.425	eV per atom

Unit cell a=4.0367 b=4.0367 c=4.0367 alpha=90.00 beta=90.00 gamma=90.00
Positions (direct):
P  0.0000  0.0000  0.0000
Pt  0.5000  0.5000  0.5000
Be  0.0000  0.5000  0.0000
Be  0.0000  0.0000  0.5000
Be  0.5000  0.0000  0.0000

---

2.
This record from the Alexandria database describes a relaxed structure of Be2PPt2. The functional is PBE.

Calculated values
total moment	0.0	μB per formula unit
uncorrected energy	-0.193	hartree per atom
distance to the lowest polymorph of the same formula	0.115	eV/atom
E_form	-0.274	eV per atom

Unit cell a=6.7903 b=6.7903 c=2.7520 alpha=90.00 beta=90.00 gamma=90.00
Positions (direct):
P  0.0000  0.0000  0.0000
P  0.5000  0.5000  0.0000
Pt  0.1649  0.6649  0.5000
Pt  0.6649  0.8351  0.5000
Pt  0.8351  0.3351  0.5000
Pt  0.3351  0.1649  0.5000
Be  0.3749  0.8749  0.0000
Be  0.8749  0.6251  0.0000
Be  0.6251  0.1251  0.0000
Be  0.1251  0.3749  0.0000

---

3.
This record from the Alexandria database describes a relaxed structure of BePPt. The functional is PBE.

Calculated values
total moment	0.0	μB per formula unit
uncorrected energy	-0.200	hartree per atom
distance to the lowest polymorph of the same formula	0.000	eV/atom
E_form	-0.392	eV per atom

Unit cell a=3.9286 b=3.9286 c=3.9286 alpha=60.00 beta=60.00 gamma=60.00
Positions (direct):
P  0.5000  0.5000  0.5000
Pt  0.7500  0.7500  0.7500
Be  0.0000  0.0000  0.0000